A plane-wave DFT calculation with PBE was carried out for crystalline Nd3GeCl2 at its relaxed geometry.

crystal system	orthorhombic
formation energy (no corrections)	-1295	meV per atom
space-group type	No. 71
calculated volume	312	Å³ per cell

a b c (Å): 4.346 5.868 12.229
angles (deg): 90.00 90.00 90.00
Element x y z (fractional)
Nd1 0.000 0.000 0.000
Nd2 0.000 0.000 0.342
Nd3 0.000 0.000 0.658
Nd4 0.500 0.500 0.158
Nd5 0.500 0.500 0.500
Nd6 0.500 0.500 0.842
Ge1 0.000 0.500 0.000
Ge2 0.500 0.000 0.500
Cl1 0.000 0.500 0.336
Cl2 0.000 0.500 0.664
Cl3 0.500 0.000 0.164
Cl4 0.500 0.000 0.836


A plane-wave DFT calculation with PBE was carried out for crystalline Nd8GeOs3Cl4 at its relaxed geometry.

crystal system	trigonal
formation energy (no corrections)	-869	meV per atom
space-group type	No. 166
calculated volume	449	Å³ per cell

a b c (Å): 8.876 8.876 8.876
angles (deg): 56.01 56.01 56.01
Element x y z (fractional)
Nd1 0.221 0.741 0.741
Nd2 0.238 0.238 0.238
Nd3 0.259 0.259 0.779
Nd4 0.259 0.779 0.259
Nd5 0.741 0.221 0.741
Nd6 0.741 0.741 0.221
Nd7 0.762 0.762 0.762
Nd8 0.779 0.259 0.259
Ge1 0.500 0.500 0.500
Os1 0.000 0.000 0.500
Os2 0.000 0.500 0.000
Os3 0.500 0.000 0.000
Cl1 0.000 0.000 0.000
Cl2 0.000 0.500 0.500
Cl3 0.500 0.000 0.500
Cl4 0.500 0.500 0.000


A plane-wave DFT calculation with PBE was carried out for crystalline Nd6GeOs2Cl3 at its relaxed geometry.

crystal system	monoclinic
formation energy (no corrections)	-922	meV per atom
space-group type	No. 12
calculated volume	338	Å³ per cell

a b c (Å): 7.251 7.251 7.812
angles (deg): 98.90 98.90 120.12
Element x y z (fractional)
Nd1 0.079 0.431 0.791
Nd2 0.217 0.217 0.210
Nd3 0.431 0.079 0.791
Nd4 0.569 0.921 0.209
Nd5 0.783 0.783 0.790
Nd6 0.921 0.569 0.209
Ge1 0.500 0.500 0.000
Os1 0.166 0.834 0.000
Os2 0.834 0.166 0.000
Cl1 0.000 0.000 0.500
Cl2 0.334 0.666 0.500
Cl3 0.666 0.334 0.500


A plane-wave DFT calculation with PBE was carried out for crystalline Nd4GePCl2 at its relaxed geometry.

crystal system	monoclinic
formation energy (no corrections)	-1434	meV per atom
space-group type	No. 10
calculated volume	213	Å³ per cell

a b c (Å): 7.272 4.196 7.402
angles (deg): 90.00 109.19 90.00
Element x y z (fractional)
Nd1 0.232 0.000 0.218
Nd2 0.251 0.500 0.778
Nd3 0.749 0.500 0.222
Nd4 0.768 0.000 0.782
Ge1 0.500 0.000 0.000
P1 0.000 0.500 0.000
Cl1 0.000 0.000 0.500
Cl2 0.500 0.500 0.500


A plane-wave DFT calculation with PBE was carried out for crystalline Nd6Ge2PCl3 at its relaxed geometry.

crystal system	monoclinic
formation energy (no corrections)	-1375	meV per atom
space-group type	No. 12
calculated volume	322	Å³ per cell

a b c (Å): 9.488 9.488 8.482
angles (deg): 103.18 103.18 25.74
Element x y z (fractional)
Nd1 0.004 0.004 0.226
Nd2 0.329 0.329 0.430
Nd3 0.343 0.343 0.910
Nd4 0.657 0.657 0.090
Nd5 0.671 0.671 0.570
Nd6 0.996 0.996 0.774
Ge1 0.166 0.166 0.331
Ge2 0.834 0.834 0.669
P1 0.500 0.500 0.000
Cl1 0.169 0.169 0.835
Cl2 0.500 0.500 0.500
Cl3 0.831 0.831 0.165


A plane-wave DFT calculation with PBE was carried out for crystalline Nd6Ge2P3Cl at its relaxed geometry.

crystal system	monoclinic
formation energy (no corrections)	-1337	meV per atom
space-group type	No. 12
calculated volume	317	Å³ per cell

a b c (Å): 9.426 9.426 8.528
angles (deg): 103.24 103.24 25.47
Element x y z (fractional)
Nd1 0.001 0.001 0.232
Nd2 0.329 0.329 0.421
Nd3 0.335 0.335 0.911
Nd4 0.665 0.665 0.089
Nd5 0.671 0.671 0.579
Nd6 0.999 0.999 0.768
Ge1 0.165 0.165 0.829
Ge2 0.835 0.835 0.171
P1 0.164 0.164 0.335
P2 0.500 0.500 0.000
P3 0.836 0.836 0.665
Cl1 0.500 0.500 0.500


A plane-wave DFT calculation with PBE was carried out for crystalline Nd8Ge3PCl4 at its relaxed geometry.

crystal system	trigonal
formation energy (no corrections)	-1343	meV per atom
space-group type	No. 166
calculated volume	431	Å³ per cell

a b c (Å): 8.475 8.475 8.475
angles (deg): 60.09 60.09 60.09
Element x y z (fractional)
Nd1 0.243 0.243 0.243
Nd2 0.248 0.738 0.738
Nd3 0.262 0.262 0.752
Nd4 0.262 0.752 0.262
Nd5 0.738 0.248 0.738
Nd6 0.738 0.738 0.248
Nd7 0.752 0.262 0.262
Nd8 0.757 0.757 0.757
Ge1 0.000 0.000 0.500
Ge2 0.000 0.500 0.000
Ge3 0.500 0.000 0.000
P1 0.500 0.500 0.500
Cl1 0.000 0.000 0.000
Cl2 0.000 0.500 0.500
Cl3 0.500 0.000 0.500
Cl4 0.500 0.500 0.000


A plane-wave DFT calculation with PBE was carried out for crystalline Nd6GeP2Cl3 at its relaxed geometry.

crystal system	monoclinic
formation energy (no corrections)	-1492	meV per atom
space-group type	No. 12
calculated volume	316	Å³ per cell

a b c (Å): 9.450 9.450 8.475
angles (deg): 103.86 103.86 25.53
Element x y z (fractional)
Nd1 0.009 0.009 0.240
Nd2 0.325 0.325 0.436
Nd3 0.338 0.338 0.894
Nd4 0.662 0.662 0.106
Nd5 0.675 0.675 0.564
Nd6 0.991 0.991 0.760
Ge1 0.500 0.500 0.000
P1 0.168 0.168 0.335
P2 0.832 0.832 0.665
Cl1 0.165 0.165 0.833
Cl2 0.500 0.500 0.500
Cl3 0.835 0.835 0.167


A plane-wave DFT calculation with PBE was carried out for crystalline Nd6Ge3P2Cl at its relaxed geometry.

crystal system	monoclinic
formation energy (no corrections)	-1183	meV per atom
space-group type	No. 12
calculated volume	322	Å³ per cell

a b c (Å): 9.505 9.505 8.521
angles (deg): 104.03 104.03 25.59
Element x y z (fractional)
Nd1 0.003 0.003 0.263
Nd2 0.331 0.331 0.423
Nd3 0.331 0.331 0.907
Nd4 0.669 0.669 0.093
Nd5 0.669 0.669 0.577
Nd6 0.997 0.997 0.737
Ge1 0.164 0.164 0.835
Ge2 0.500 0.500 0.500
Ge3 0.836 0.836 0.165
P1 0.166 0.166 0.331
P2 0.834 0.834 0.669
Cl1 0.500 0.500 0.000


A plane-wave DFT calculation with PBE was carried out for crystalline Nd3GePbCl at its relaxed geometry.

crystal system	monoclinic
formation energy (no corrections)	-952	meV per atom
space-group type	No. 11
calculated volume	364	Å³ per cell

a b c (Å): 7.600 4.268 11.464
angles (deg): 90.00 101.76 90.00
Element x y z (fractional)
Nd1 0.044 0.250 0.155
Nd2 0.229 0.750 0.496
Nd3 0.455 0.750 0.853
Nd4 0.545 0.250 0.147
Nd5 0.771 0.250 0.504
Nd6 0.956 0.750 0.845
Ge1 0.267 0.750 0.066
Ge2 0.733 0.250 0.934
Pb1 0.153 0.250 0.689
Pb2 0.847 0.750 0.311
Cl1 0.381 0.250 0.371
Cl2 0.619 0.750 0.629


A plane-wave DFT calculation with PBE was carried out for crystalline Nd6Ge2PtCl3 at its relaxed geometry.

crystal system	monoclinic
formation energy (no corrections)	-1260	meV per atom
space-group type	No. 12
calculated volume	328	Å³ per cell

a b c (Å): 9.460 9.460 8.587
angles (deg): 101.12 101.12 25.77
Element x y z (fractional)
Nd1 0.003 0.003 0.231
Nd2 0.329 0.329 0.425
Nd3 0.338 0.338 0.903
Nd4 0.662 0.662 0.097
Nd5 0.671 0.671 0.575
Nd6 0.997 0.997 0.769
Ge1 0.166 0.166 0.337
Ge2 0.834 0.834 0.663
Pt1 0.500 0.500 0.000
Cl1 0.171 0.171 0.836
Cl2 0.500 0.500 0.500
Cl3 0.829 0.829 0.164


A plane-wave DFT calculation with PBE was carried out for crystalline Nd6GeRh2Cl3 at its relaxed geometry.

crystal system	monoclinic
formation energy (no corrections)	-1139	meV per atom
space-group type	No. 12
calculated volume	333	Å³ per cell

a b c (Å): 7.246 7.246 7.725
angles (deg): 99.01 99.01 120.02
Element x y z (fractional)
Nd1 0.083 0.430 0.787
Nd2 0.223 0.223 0.212
Nd3 0.430 0.083 0.787
Nd4 0.570 0.917 0.213
Nd5 0.777 0.777 0.788
Nd6 0.917 0.570 0.213
Ge1 0.500 0.500 0.000
Rh1 0.167 0.833 0.000
Rh2 0.833 0.167 0.000
Cl1 0.000 0.000 0.500
Cl2 0.340 0.660 0.500
Cl3 0.660 0.340 0.500


A plane-wave DFT calculation with PBE was carried out for crystalline Nd6Ge2RuCl3 at its relaxed geometry.

crystal system	monoclinic
formation energy (no corrections)	-1113	meV per atom
space-group type	No. 12
calculated volume	331	Å³ per cell

a b c (Å): 9.548 9.548 8.756
angles (deg): 103.46 103.46 25.32
Element x y z (fractional)
Nd1 0.003 0.003 0.225
Nd2 0.328 0.328 0.426
Nd3 0.349 0.349 0.904
Nd4 0.651 0.651 0.096
Nd5 0.672 0.672 0.574
Nd6 0.997 0.997 0.775
Ge1 0.165 0.165 0.339
Ge2 0.835 0.835 0.661
Ru1 0.500 0.500 0.000
Cl1 0.174 0.174 0.838
Cl2 0.500 0.500 0.500
Cl3 0.826 0.826 0.162


A plane-wave DFT calculation with PBE was carried out for crystalline Nd6Ge3S2Cl at its relaxed geometry.

crystal system	monoclinic
formation energy (no corrections)	-1396	meV per atom
space-group type	No. 12
calculated volume	319	Å³ per cell

a b c (Å): 9.408 9.408 8.413
angles (deg): 102.06 102.06 26.04
Element x y z (fractional)
Nd1 0.001 0.001 0.263
Nd2 0.328 0.328 0.913
Nd3 0.333 0.333 0.416
Nd4 0.667 0.667 0.584
Nd5 0.672 0.672 0.087
Nd6 0.999 0.999 0.737
Ge1 0.164 0.164 0.834
Ge2 0.500 0.500 0.500
Ge3 0.836 0.836 0.166
S1 0.167 0.167 0.333
S2 0.833 0.833 0.667
Cl1 0.500 0.500 0.000


A plane-wave DFT calculation with PBE was carried out for crystalline Nd6GeS3Cl2 at its relaxed geometry.

crystal system	monoclinic
formation energy (no corrections)	-1680	meV per atom
space-group type	No. 12
calculated volume	302	Å³ per cell

a b c (Å): 7.155 7.155 7.219
angles (deg): 99.50 99.50 120.18
Element x y z (fractional)
Nd1 0.092 0.411 0.775
Nd2 0.231 0.231 0.226
Nd3 0.411 0.092 0.775
Nd4 0.589 0.908 0.225
Nd5 0.769 0.769 0.774
Nd6 0.908 0.589 0.225
Ge1 0.000 0.000 0.500
S1 0.168 0.832 0.000
S2 0.500 0.500 0.000
S3 0.832 0.168 0.000
Cl1 0.332 0.668 0.500
Cl2 0.668 0.332 0.500


A plane-wave DFT calculation with PBE was carried out for crystalline Nd4Ge2SCl at its relaxed geometry.

crystal system	monoclinic
formation energy (no corrections)	-1366	meV per atom
space-group type	No. 10
calculated volume	214	Å³ per cell

a b c (Å): 7.251 4.251 7.367
angles (deg): 90.00 109.71 90.00
Element x y z (fractional)
Nd1 0.238 0.000 0.238
Nd2 0.244 0.500 0.755
Nd3 0.756 0.500 0.245
Nd4 0.762 0.000 0.762
Ge1 0.000 0.000 0.500
Ge2 0.000 0.500 0.000
S1 0.500 0.000 0.000
Cl1 0.500 0.500 0.500


A plane-wave DFT calculation with PBE was carried out for crystalline Nd6Ge2SCl3 at its relaxed geometry.

crystal system	monoclinic
formation energy (no corrections)	-1418	meV per atom
space-group type	No. 12
calculated volume	318	Å³ per cell

a b c (Å): 9.458 9.458 8.392
angles (deg): 103.54 103.54 25.83
Element x y z (fractional)
Nd1 0.003 0.003 0.226
Nd2 0.328 0.328 0.428
Nd3 0.344 0.344 0.909
Nd4 0.656 0.656 0.091
Nd5 0.672 0.672 0.572
Nd6 0.997 0.997 0.774
Ge1 0.165 0.165 0.331
Ge2 0.835 0.835 0.669
S1 0.500 0.500 0.000
Cl1 0.173 0.173 0.838
Cl2 0.500 0.500 0.500
Cl3 0.827 0.827 0.162


A plane-wave DFT calculation with PBE was carried out for crystalline Nd3GeSbCl at its relaxed geometry.

crystal system	monoclinic
formation energy (no corrections)	-1059	meV per atom
space-group type	No. 11
calculated volume	364	Å³ per cell

a b c (Å): 8.706 4.461 9.583
angles (deg): 90.00 102.07 90.00
Element x y z (fractional)
Nd1 0.077 0.250 0.346
Nd2 0.238 0.250 0.985
Nd3 0.391 0.750 0.634
Nd4 0.609 0.250 0.366
Nd5 0.762 0.750 0.015
Nd6 0.923 0.750 0.654
Ge1 0.160 0.250 0.662
Ge2 0.840 0.750 0.338
Sb1 0.321 0.750 0.279
Sb2 0.679 0.250 0.721
Cl1 0.405 0.750 0.923
Cl2 0.595 0.250 0.077


A plane-wave DFT calculation with PBE was carried out for crystalline Nd3GeSeCl at its relaxed geometry.

crystal system	monoclinic
formation energy (no corrections)	-1311	meV per atom
space-group type	No. 11
calculated volume	372	Å³ per cell

a b c (Å): 8.642 4.206 10.241
angles (deg): 90.00 91.61 90.00
Element x y z (fractional)
Nd1 0.119 0.250 0.354
Nd2 0.161 0.250 0.925
Nd3 0.374 0.750 0.638
Nd4 0.626 0.250 0.362
Nd5 0.839 0.750 0.075
Nd6 0.881 0.750 0.646
Ge1 0.128 0.250 0.646
Ge2 0.872 0.750 0.354
Se1 0.373 0.750 0.345
Se2 0.627 0.250 0.655
Cl1 0.377 0.750 0.920
Cl2 0.623 0.250 0.080


A plane-wave DFT calculation with PBE was carried out for crystalline Nd6Ge2Se3Cl at its relaxed geometry.

crystal system	monoclinic
formation energy (no corrections)	-1514	meV per atom
space-group type	No. 12
calculated volume	329	Å³ per cell

a b c (Å): 9.510 9.510 8.563
angles (deg): 102.49 102.49 25.79
Element x y z (fractional)
Nd1 0.006 0.006 0.269
Nd2 0.327 0.327 0.902
Nd3 0.331 0.331 0.421
Nd4 0.669 0.669 0.579
Nd5 0.673 0.673 0.098
Nd6 0.994 0.994 0.731
Ge1 0.166 0.166 0.331
Ge2 0.834 0.834 0.669
Se1 0.163 0.163 0.837
Se2 0.500 0.500 0.500
Se3 0.837 0.837 0.163
Cl1 0.500 0.500 0.000


A plane-wave DFT calculation with PBE was carried out for crystalline Nd4GeSe2Cl at its relaxed geometry.

crystal system	monoclinic
formation energy (no corrections)	-1548	meV per atom
space-group type	No. 10
calculated volume	216	Å³ per cell

a b c (Å): 7.302 4.239 7.391
angles (deg): 90.00 109.17 90.00
Element x y z (fractional)
Nd1 0.242 0.000 0.230
Nd2 0.254 0.500 0.764
Nd3 0.746 0.500 0.236
Nd4 0.758 0.000 0.770
Ge1 0.500 0.000 0.000
Se1 0.000 0.000 0.500
Se2 0.000 0.500 0.000
Cl1 0.500 0.500 0.500